An optimized crystal structure of LaUNbN3, computed with GGA-PBE.

Structure (POSCAR):
```
LaUNbN3
1.0
7.399 0.000 0.000
0.000 3.349 0.000
-1.020 0.000 8.184
La U Nb N
2 2 2 6
direct
0.151 0.250 0.185 La
0.849 0.750 0.815 La
0.358 0.750 0.846 U
0.642 0.250 0.154 U
0.125 0.250 0.577 Nb
0.875 0.750 0.423 Nb
0.143 0.250 0.854 N
0.175 0.750 0.421 N
0.421 0.750 0.108 N
0.579 0.250 0.892 N
0.825 0.250 0.579 N
0.857 0.750 0.146 N
```

Electronic total energy (eV for the cell shown): -114.57
Total moment (μB/cell): 2.3
Energy relative to the elements, uncorrected (eV per atom): -1.0042